No. 1
! ZnCr5Se8 (PBE, relaxed); values from VASP
! Total magnetic moment, μB/f.u.: 16.00
! Symmetry: F-43m
&SYSTEM
  ibrav = 0, nat = 14, ntyp = 3
/
ATOMIC_SPECIES
Zn 65.41 Zn.upf
Cr 52.00 Cr.upf
Se 78.96 Se.upf
ATOMIC_POSITIONS crystal
Zn 0.250 0.250 0.250
Cr 0.000 0.000 0.000
Cr 0.625 0.625 0.125
Cr 0.625 0.625 0.625
Cr 0.125 0.625 0.625
Cr 0.625 0.125 0.625
Se 0.385 0.844 0.385
Se 0.844 0.385 0.385
Se 0.385 0.385 0.385
Se 0.385 0.385 0.844
Se 0.866 0.866 0.403
Se 0.403 0.866 0.866
Se 0.866 0.866 0.866
Se 0.866 0.403 0.866
CELL_PARAMETERS angstrom
6.495 0.000 3.750
2.165 6.123 3.750
0.000 0.000 7.499

***

No. 2
! CeErCu2 (PBE, relaxed); values from VASP
! Formation enthalpy at 0 K, eV/atom: -0.15
! E above lowest polymorph, meV/atom: 11
! Total magnetic moment, μB/f.u.: 0.95
! Symmetry: P4/mmm
&SYSTEM
  ibrav = 0, nat = 4, ntyp = 3
/
ATOMIC_SPECIES
Cu 63.55 Cu.upf
Ce 140.12 Ce.upf
Er 167.26 Er.upf
ATOMIC_POSITIONS crystal
Cu 0.000 0.000 0.769
Cu 0.000 0.000 0.231
Ce 0.500 0.500 0.500
Er 0.500 0.500 0.000
CELL_PARAMETERS angstrom
3.415 0.000 0.000
0.000 3.415 0.000
0.000 0.000 7.215

***

No. 3
! Y4Pd3Au (PBE, relaxed); values from VASP
! Formation enthalpy at 0 K, eV/atom: -0.90
! Total magnetic moment, μB/f.u.: 0.00
! Symmetry: Pmm2
&SYSTEM
  ibrav = 0, nat = 8, ntyp = 3
/
ATOMIC_SPECIES
Y 88.91 Y.upf
Au 196.97 Au.upf
Pd 106.42 Pd.upf
ATOMIC_POSITIONS crystal
Y 0.500 0.500 0.367
Y 0.000 0.500 0.858
Y 0.000 0.000 0.140
Y 0.500 0.000 0.637
Au 0.500 0.500 0.085
Pd 0.000 0.500 0.585
Pd 0.000 0.000 0.415
Pd 0.500 0.000 0.913
CELL_PARAMETERS angstrom
3.752 0.000 0.000
0.000 4.640 0.000
0.000 0.000 10.606

***

No. 4
! PrZn2InPt5 (PBE, relaxed); values from VASP
! Formation enthalpy at 0 K, eV/atom: -0.41
! Total magnetic moment, μB/f.u.: 0.00
! Symmetry: P4/mmm
&SYSTEM
  ibrav = 0, nat = 9, ntyp = 4
/
ATOMIC_SPECIES
Pr 140.91 Pr.upf
Zn 65.41 Zn.upf
In 114.82 In.upf
Pt 195.08 Pt.upf
ATOMIC_POSITIONS crystal
Pr 0.000 0.000 0.500
Zn 0.500 0.500 0.156
Zn 0.500 0.500 0.844
In 0.000 0.000 0.000
Pt 0.000 0.500 0.247
Pt 0.500 0.000 0.247
Pt 0.000 0.500 0.753
Pt 0.500 0.000 0.753
Pt 0.500 0.500 0.500
CELL_PARAMETERS angstrom
4.667 0.000 0.000
0.000 4.667 0.000
0.000 0.000 7.701

***

| no. | total energy (eV for the cell shown) |
| --- | --- |
| 1 | -84.65 |
| 2 | -19.28 |
| 3 | -51.93 |
| 4 | -43.92 |